## MgMnB2O5 (GGA+U)

Data for an optimized crystal structure of MgMnB2O5.

Cell: 3.2390 6.2518 9.5000 Å, 104.55 90.37 91.78°
Space group P-1 (No. 2)
Inequivalent atoms, fractional coordinates:
Mg1 0.2326 0.3694 0.0986
Mn1 0.2534 0.7830 0.6380
B1 0.3144 0.3201 0.6538
B2 0.3290 0.8794 0.1657
O1 0.2205 0.0915 0.1761
O2 0.2446 0.2823 0.5086
O3 0.2634 0.5207 0.7516
O4 0.2625 0.6964 0.0522
O5 0.4600 0.1413 0.7051

- size of the total moment (μB per cell) = 10.00
- N(E_F) (states/eV/f.u.) = 0.00
- DFT total energy (eV/atom) = -7.6316